# 1
DFT (PBE) results for a relaxed Cs2LiY crystal.

* space group: I-42d
* DFT formation energy: 0.7442 eV/atom
* total moment: 0.0 μB/f.u.
* calculated density: 2.7 g cm⁻³
* energy: -14.22 eV for the cell shown
* excess energy over the best structure of this formula in the dataset: 0.0033 eV/atom

Structure (extended XYZ):
```
8
Lattice="10.836 0.000 0.000 0.000 10.836 0.000 5.418 5.418 3.775" Properties=species:S:1:pos:R:3 pbc="T T T"
Cs 8.127 8.545 2.831
Cs 3.127 8.127 0.944
Cs 13.545 13.127 2.831
Cs 7.709 2.709 0.944
Y 10.836 5.418 1.887
Y 0.000 0.000 0.000
Li 5.418 5.418 0.000
Li 5.418 10.836 1.887
```

---

# 2
DFT (PBE) results for a relaxed CsLiY2Zn crystal.

* space group: P4/mmm
* DFT formation energy: 0.8442 eV/atom
* total moment: 1.1 μB/f.u.
* calculated density: 3.4 g cm⁻³
* energy: -12.75 eV for the cell shown

Structure (extended XYZ):
```
5
Lattice="5.538 0.000 0.000 0.000 5.538 0.000 0.000 0.000 6.156" Properties=species:S:1:pos:R:3 pbc="T T T"
Y 0.000 2.769 0.000
Y 2.769 0.000 0.000
Zn 2.769 2.769 3.078
Li 0.000 0.000 0.000
Cs 0.000 0.000 3.078
```

---

# 3
DFT (PBE) results for a relaxed Cs2LiZn crystal.

* space group: Fm-3m
* DFT formation energy: 0.2342 eV/atom
* total moment: 0.0 μB/f.u.
* calculated density: 2.5 g cm⁻³
* energy: -3.96 eV for the cell shown
* excess energy over the best structure of this formula in the dataset: 0.0000 eV/atom

Structure (extended XYZ):
```
4
Lattice="-1.566 -3.931 5.327 -0.236 2.677 6.250 -5.982 0.764 3.149" Properties=species:S:1:pos:R:3 pbc="T T T"
Cs -5.838 -0.367 11.045
Cs -1.946 -0.122 3.682
Zn -3.892 -0.245 7.363
Li 0.000 0.000 0.000
```

---

# 4
DFT (PBE) results for a relaxed CsLi2Zn2 crystal.

* space group: I4/mmm
* DFT formation energy: 0.1425 eV/atom
* total moment: 0.0 μB/f.u.
* calculated density: 3.2 g cm⁻³
* energy: -6.52 eV for the cell shown
* excess energy over the best structure of this formula in the dataset: 0.0184 eV/atom

Structure (extended XYZ):
```
5
Lattice="-2.653 -4.155 0.174 2.429 -1.716 -3.936 3.938 -5.372 1.681" Properties=species:S:1:pos:R:3 pbc="T T T"
Zn 0.851 -3.515 -1.034
Zn 2.863 -7.729 -1.046
Li 3.127 -5.012 -2.067
Li 0.586 -6.232 -0.012
Cs 0.000 0.000 0.000
```

---

# 5
DFT (PBE) results for a relaxed Cs2LiZn crystal.

* space group: I-42d
* DFT formation energy: 0.3070 eV/atom
* total moment: 0.0 μB/f.u.
* calculated density: 2.4 g cm⁻³
* energy: -7.33 eV for the cell shown
* excess energy over the best structure of this formula in the dataset: 0.0728 eV/atom

Structure (extended XYZ):
```
8
Lattice="10.678 0.000 0.000 0.000 10.678 0.000 5.339 5.339 4.032" Properties=species:S:1:pos:R:3 pbc="T T T"
Cs 13.347 13.671 3.024
Cs 8.332 2.669 1.008
Cs 8.008 7.684 3.024
Cs 2.345 8.008 1.008
Li 5.339 5.339 0.000
Li 5.339 10.678 2.016
Zn 0.000 0.000 0.000
Zn 10.678 5.339 2.016
```

---

# 6
DFT (PBE) results for a relaxed CsLi4Zn2 crystal.

* space group: I4/mmm
* DFT formation energy: 0.5013 eV/atom
* total moment: 0.0 μB/f.u.
* calculated density: 2.1 g cm⁻³
* energy: -7.55 eV for the cell shown

Structure (extended XYZ):
```
7
Lattice="-5.499 -0.754 -0.703 0.854 -1.193 -5.399 -1.554 -8.178 -1.338" Properties=species:S:1:pos:R:3 pbc="T T T"
Li -4.261 -5.540 -5.248
Li -1.937 -4.585 -2.192
Li 0.427 -0.596 -2.699
Li -2.749 -0.377 -0.352
Zn -3.998 -8.012 -4.660
Zn -2.201 -2.113 -2.780
Cs 0.000 0.000 0.000
```

---

# 7
DFT (PBE) results for a relaxed Cs3LiZn crystal.

* space group: Pm-3m
* DFT formation energy: 0.2395 eV/atom
* total moment: 0.0 μB/f.u.
* calculated density: 2.0 g cm⁻³
* energy: -4.55 eV for the cell shown
* excess energy over the best structure of this formula in the dataset: 0.0000 eV/atom

Structure (extended XYZ):
```
5
Lattice="7.266 0.000 0.000 0.000 7.266 0.000 0.000 0.000 7.266" Properties=species:S:1:pos:R:3 pbc="T T T"
Cs 0.000 0.000 3.633
Cs 3.633 0.000 0.000
Cs 0.000 3.633 0.000
Zn 0.000 0.000 0.000
Li 3.633 3.633 3.633
```

---

# 8
DFT (PBE) results for a relaxed CsLi2Zn2 crystal.

* space group: P4/mbm
* DFT formation energy: 0.1241 eV/atom
* total moment: 0.0 μB/f.u.
* calculated density: 3.6 g cm⁻³
* energy: -13.22 eV for the cell shown
* excess energy over the best structure of this formula in the dataset: 0.0000 eV/atom

Structure (extended XYZ):
```
10
Lattice="8.592 0.000 0.000 0.000 8.592 0.000 0.000 0.000 3.516" Properties=species:S:1:pos:R:3 pbc="T T T"
Li 5.541 1.245 0.000
Li 1.245 3.051 0.000
Li 3.051 7.347 0.000
Li 7.347 5.541 0.000
Zn 7.662 3.366 1.758
Zn 5.226 7.662 1.758
Zn 0.930 5.226 1.758
Zn 3.366 0.930 1.758
Cs 4.296 4.296 0.000
Cs 0.000 0.000 0.000
```

---

# 9
DFT (PBE) results for a relaxed CsLi2Zn crystal.

* space group: I4_1/amd
* DFT formation energy: 0.2089 eV/atom
* total moment: 0.0 μB/f.u.
* calculated density: 2.2 g cm⁻³
* energy: -10.24 eV for the cell shown

Structure (extended XYZ):
```
8
Lattice="5.860 0.000 0.000 0.000 5.860 0.000 2.930 2.930 9.291" Properties=species:S:1:pos:R:3 pbc="T T T"
Li 2.929 4.395 2.323
Li 7.324 5.860 6.968
Li 2.930 1.465 2.323
Li 4.395 5.859 6.968
Cs 0.000 0.000 0.000
Cs 5.860 2.930 4.646
Zn 2.930 2.930 0.000
Zn 2.930 5.860 4.646
```

---

# 10
DFT (PBE) results for a relaxed Cs2LiZn2 crystal.

* space group: I4/mmm
* DFT formation energy: 0.2125 eV/atom
* total moment: 0.0 μB/f.u.
* calculated density: 3.0 g cm⁻³
* energy: -5.11 eV for the cell shown

Structure (extended XYZ):
```
5
Lattice="7.367 0.000 0.000 0.000 7.367 0.000 3.684 3.684 4.147" Properties=species:S:1:pos:R:3 pbc="T T T"
Li 0.000 0.000 0.000
Cs 7.367 3.684 2.073
Cs 3.684 7.367 2.073
Zn 7.367 7.367 2.838
Zn 3.684 3.684 1.309
```

---

# 11
DFT (PBE) results for a relaxed CsLiZr2 crystal.

* space group: I-42d
* DFT formation energy: 0.9812 eV/atom
* total moment: 0.0 μB/f.u.
* calculated density: 4.7 g cm⁻³
* energy: -31.88 eV for the cell shown
* excess energy over the best structure of this formula in the dataset: 0.0000 eV/atom

Structure (extended XYZ):
```
8
Lattice="4.238 0.000 0.000 0.000 4.238 0.000 2.119 2.119 12.685" Properties=species:S:1:pos:R:3 pbc="T T T"
Cs 4.238 2.119 6.342
Cs 0.000 0.000 0.000
Zr 1.109 3.179 3.171
Zr 5.298 5.248 9.514
Zr 3.179 3.228 9.514
Zr 3.129 1.060 3.171
Li 2.119 2.119 0.000
Li 2.119 4.238 6.342
```

---

# 12
DFT (PBE) results for a relaxed CsLiZr3 crystal.

* space group: Pm-3m
* DFT formation energy: 1.2177 eV/atom
* total moment: 0.0 μB/f.u.
* calculated density: 5.2 g cm⁻³
* energy: -22.32 eV for the cell shown
* excess energy over the best structure of this formula in the dataset: 0.0000 eV/atom

Structure (extended XYZ):
```
5
Lattice="-0.453 5.079 -0.218 -5.002 -0.406 0.926 0.904 0.296 5.014" Properties=species:S:1:pos:R:3 pbc="T T T"
Zr -0.226 2.539 -0.109
Zr -2.501 -0.203 0.463
Zr 0.452 0.148 2.507
Cs -2.276 2.484 2.861
Li 0.000 0.000 0.000
```